The following is a PBE calculation of a geometry-optimized Sr2GaCu12Ni3 structure, from the Alexandria database.

* total magnetization: 0.00 μB/f.u.
* density of states at the Fermi level: 0.43 states/eV per atom
* space-group type: R-3m
* energy of formation: 0.381 eV per atom

abc: 7.633 7.633 7.633
angles: 64.42 64.42 64.42
Atoms (fractional coordinates):
1 Sr 0.605 0.605 0.605
2 Sr 0.395 0.395 0.395
3 Ga 0.000 0.000 0.000
4 Cu 0.336 0.336 0.025
5 Cu 0.878 0.878 0.352
6 Cu 0.352 0.878 0.878
7 Cu 0.025 0.336 0.336
8 Cu 0.878 0.352 0.878
9 Cu 0.336 0.025 0.336
10 Cu 0.664 0.664 0.975
11 Cu 0.122 0.122 0.648
12 Cu 0.648 0.122 0.122
13 Cu 0.975 0.664 0.664
14 Cu 0.122 0.648 0.122
15 Cu 0.664 0.975 0.664
16 Ni 0.500 0.000 0.000
17 Ni 0.000 0.500 0.000
18 Ni 0.000 0.000 0.500

The following is a PBE calculation of a geometry-optimized Tb4Sm2ErSc structure, from the Alexandria database.

* total magnetization: 0.00 μB/f.u.
* density of states at the Fermi level: 1.43 states/eV per atom
* space-group type: P4/mmm
* energy of formation: 0.030 eV per atom

abc: 5.004 5.005 11.152
angles: 63.34 90.00 90.00
Atoms (fractional coordinates):
1 Tb 0.000 0.746 0.754
2 Tb 0.000 0.254 0.246
3 Tb 0.500 0.754 0.246
4 Tb 0.500 0.246 0.754
5 Sm 0.000 0.000 0.000
6 Sm 0.500 0.000 0.500
7 Er 0.000 0.500 0.500
8 Sc 0.500 0.500 0.000

The following is a PBE calculation of a geometry-optimized LiTaOs2 structure, from the Alexandria database.

* total magnetization: 0.00 μB/f.u.
* density of states at the Fermi level: 0.73 states/eV per atom
* space-group type: P2/m
* energy of formation: 0.039 eV per atom

abc: 4.242 2.721 5.101
angles: 84.69 90.00 90.00
Atoms (fractional coordinates):
1 Li 0.500 0.750 0.750
2 Os 0.000 0.979 0.977
3 Os 0.000 0.521 0.523
4 Ta 0.500 0.250 0.250

The following is a PBE calculation of a geometry-optimized CoAsP2S structure, from the Alexandria database.

* total magnetization: 0.00 μB/f.u.
* density of states at the Fermi level: 0.76 states/eV per atom
* space-group type: P4/mmm
* DFT total energy: -4.779 eV/atom

abc: 4.214 4.214 4.853
angles: 90.00 90.00 90.00
Atoms (fractional coordinates):
1 P 0.000 0.500 0.000
2 P 0.500 0.000 0.000
3 As 0.500 0.500 0.500
4 Co 0.000 0.000 0.000
5 S 0.000 0.000 0.500

The following is a PBE calculation of a geometry-optimized Rb3In2Pb4 structure, from the Alexandria database.

* total magnetization: 0.00 μB/f.u.
* density of states at the Fermi level: 0.37 states/eV per atom
* space-group type: C2/m
* energy of formation: -0.089 eV per atom

abc: 5.063 7.731 12.706
angles: 55.34 78.51 70.89
Atoms (fractional coordinates):
1 Rb 0.338 0.659 0.664
2 Rb 0.000 0.000 0.000
3 Rb 0.662 0.341 0.336
4 In 0.405 0.928 0.262
5 In 0.595 0.072 0.738
6 Pb 0.253 0.411 0.083
7 Pb 0.747 0.589 0.917
8 Pb 0.077 0.251 0.594
9 Pb 0.923 0.749 0.406

The following is a PBE calculation of a geometry-optimized LiClF3 structure, from the Alexandria database.

* total magnetization: 1.03 μB/f.u.
* density of states at the Fermi level: 0.14 states/eV per atom
* space-group type: P1
* DFT total energy: -3.245 eV/atom

abc: 6.471 5.969 9.891
angles: 115.63 143.28 87.47
Last column: magnetic moment on the atom in μB.
Atoms (fractional coordinates):
1 Li 0.295 0.963 0.621  0.00
2 Li 0.787 0.196 0.621  0.00
3 Cl 0.989 0.270 0.422  0.45
4 Cl 0.402 0.576 0.341  0.46
5 F 0.700 0.057 0.723  0.29
6 F 0.297 0.751 0.200  0.06
7 F 0.214 0.239 0.745  0.29
8 F 0.516 0.398 0.487  0.09
9 F 0.818 0.887 0.233  0.06
10 F 0.165 0.663 0.608  0.08

The following is a PBE calculation of a geometry-optimized Dy4TePd structure, from the Alexandria database.

* total magnetization: 0.00 μB/f.u.
* density of states at the Fermi level: 1.04 states/eV per atom
* space-group type: Pnma
* DFT total energy: -5.204 eV/atom

abc: 3.923 8.355 19.636
angles: 90.00 90.00 90.00
Atoms (fractional coordinates):
1 Dy 0.750 0.866 0.654
2 Dy 0.250 0.134 0.346
3 Dy 0.250 0.634 0.154
4 Dy 0.750 0.366 0.846
5 Dy 0.750 0.854 0.447
6 Dy 0.250 0.146 0.553
7 Dy 0.250 0.646 0.947
8 Dy 0.750 0.354 0.053
9 Dy 0.750 0.017 0.930
10 Dy 0.250 0.983 0.070
11 Dy 0.250 0.483 0.430
12 Dy 0.750 0.517 0.570
13 Dy 0.750 0.956 0.218
14 Dy 0.250 0.044 0.782
15 Dy 0.250 0.544 0.718
16 Dy 0.750 0.456 0.282
17 Te 0.750 0.745 0.814
18 Te 0.250 0.255 0.186
19 Te 0.250 0.755 0.314
20 Te 0.750 0.245 0.686
21 Pd 0.750 0.227 0.449
22 Pd 0.250 0.773 0.551
23 Pd 0.250 0.273 0.949
24 Pd 0.750 0.727 0.051

The following is a PBE calculation of a geometry-optimized K3ZnAg2F8 structure, from the Alexandria database.

* total magnetization: 0.69 μB/f.u.
* density of states at the Fermi level: 0.61 states/eV per atom
* space-group type: P-3m1
* DFT total energy: -3.816 eV/atom

abc: 5.878 5.878 8.261
angles: 90.00 90.00 120.00
Last column: magnetic moment on the atom in μB.
Atoms (fractional coordinates):
1 K 0.333 0.667 0.618  0.00
2 K 0.667 0.333 0.382  0.00
3 K 0.000 0.000 0.000  0.00
4 Zn 0.000 0.000 0.500  0.05
5 Ag 0.333 0.667 0.181  0.17
6 Ag 0.667 0.333 0.819  0.17
7 F 0.333 0.667 0.925  0.03
8 F 0.667 0.333 0.075  0.03
9 F 0.160 0.840 0.355  0.04
10 F 0.840 0.160 0.645  0.04
11 F 0.160 0.320 0.355  0.04
12 F 0.840 0.680 0.645  0.04
13 F 0.680 0.840 0.355  0.04
14 F 0.320 0.160 0.645  0.04